*A*
24
Lattice="4.136 0.000 0.000 0.000 7.923 0.000 0.000 0.000 18.695" Properties=species:S:1:pos:R:3 comment="Tm4SbRu | Alexandria via LeMat-Bulk | PBE | optimized geometry" sg="Pnma, No. 62" n_ef_per_ev_atom=0.965 pbc="T T T"
Tm 3.102 6.903 12.015
Tm 1.034 1.020 6.679
Tm 1.034 4.981 2.668
Tm 3.102 2.942 16.027
Tm 3.102 6.784 8.449
Tm 1.034 1.139 10.246
Tm 1.034 5.100 17.796
Tm 3.102 2.823 0.899
Tm 3.102 7.908 17.463
Tm 1.034 0.015 1.232
Tm 1.034 3.977 8.115
Tm 3.102 3.946 10.579
Tm 3.102 7.494 3.958
Tm 1.034 0.429 14.737
Tm 1.034 4.390 13.305
Tm 3.102 3.533 5.390
Sb 3.102 5.940 15.097
Sb 1.034 1.983 3.598
Sb 1.034 5.944 5.750
Sb 3.102 1.979 12.945
Ru 3.102 2.013 8.291
Ru 1.034 5.910 10.403
Ru 1.034 1.948 17.639
Ru 3.102 5.974 1.056

***

*B*
12
Lattice="6.705 0.000 -0.001 0.000 6.852 0.000 -0.093 0.000 7.547" Properties=species:S:1:pos:R:3 comment="Tm4SbRu | Alexandria via LeMat-Bulk | PBE | optimized geometry" sg="P2_1/c, No. 14" n_ef_per_ev_atom=0.719 pbc="T T T"
Tm 5.655 4.522 1.600
Tm 4.310 1.096 5.947
Tm 2.210 2.325 2.712
Tm 1.050 5.751 4.835
Tm 0.957 2.329 5.947
Tm 2.302 5.755 1.600
Tm 4.402 4.527 4.835
Tm 5.562 1.101 2.711
Sb 0.000 0.000 0.000
Sb 3.353 3.426 0.000
Ru 3.306 0.000 3.773
Ru -0.047 3.426 3.774

***

Short version: *A* is the most stable of them.

***

*A*
4
Lattice="-0.911 -2.406 -1.800 1.317 -0.440 -2.816 6.582 -6.268 2.307" Properties=species:S:1:pos:R:3 comment="VSb2Ru | Alexandria via LeMat-Bulk | PBE | optimized geometry" sg="R-3m, No. 166" n_ef_per_ev_atom=1.421 pbc="T T T"
Sb 4.797 -4.795 1.242
Sb 2.191 -4.320 -3.552
V 3.494 -4.557 -1.155
Ru 0.000 0.000 0.000

***

*B*
4
Lattice="-3.634 -2.572 1.319 -1.079 -0.358 4.501 -3.825 2.056 1.641" Properties=species:S:1:pos:R:3 comment="VSb2Ru | Alexandria via LeMat-Bulk | PBE | optimized geometry" sg="Fm-3m, No. 225" n_ef_per_ev_atom=1.293 pbc="T T T"
Sb -2.134 -0.218 1.865
Sb -6.403 -0.655 5.596
Ru -4.269 -0.437 3.731
V 0.000 0.000 0.000

***

Short version: *B* is the most stable of them.

***

*A*
5
Lattice="4.769 0.000 0.000 0.000 4.769 0.000 0.000 0.000 4.769" Properties=species:S:1:pos:R:3 comment="VSbRu3 | Alexandria via LeMat-Bulk | PBE | optimized geometry" sg="Pm-3m, No. 221" n_ef_per_ev_atom=1.543 pbc="T T T"
Sb 0.000 0.000 0.000
Ru 0.000 2.385 0.000
Ru 0.000 0.000 2.385
Ru 2.385 0.000 0.000
V 2.385 2.385 2.385

***

*B*
5
Lattice="-2.665 3.399 1.259 0.730 -1.027 4.318 3.550 2.762 0.057" Properties=species:S:1:pos:R:3 comment="VSbRu3 | Alexandria via LeMat-Bulk | PBE | optimized geometry" sg="Pm-3m, No. 221" n_ef_per_ev_atom=1.284 pbc="T T T"
Sb 0.807 2.567 2.817
Ru 0.365 -0.513 2.159
Ru 1.775 1.381 0.028
Ru -1.332 1.699 0.629
V 0.000 0.000 0.000

***

Short version: *B* is the most stable of them.

***

*A*
4
Lattice="-3.299 -3.534 1.832 0.921 -4.587 -2.200 3.099 3.403 2.355" Properties=species:S:1:pos:R:3 comment="Sb2RuW | Alexandria via LeMat-Bulk | PBE | optimized geometry" sg="I-4m2, No. 119" n_ef_per_ev_atom=0.865 pbc="T T T"
Ru -0.695 -2.096 2.002
Sb 0.000 0.000 0.000
Sb 1.416 -2.622 -0.014
W -1.189 -4.060 -0.184

***

*B*
8
Lattice="4.308 0.000 0.000 0.000 4.308 0.000 2.154 2.154 8.908" Properties=species:S:1:pos:R:3 comment="Sb2RuW | Alexandria via LeMat-Bulk | PBE | optimized geometry" sg="I-42d, No. 122" n_ef_per_ev_atom=0.887 pbc="T T T"
Sb 3.189 1.077 2.227
Sb 1.119 3.231 2.227
Sb 3.231 3.273 6.681
Sb 5.386 5.344 6.681
W 0.000 0.000 0.000
W 4.308 2.154 4.454
Ru 2.154 2.154 0.000
Ru 2.154 4.308 4.454

***

Short version: *A* is the most stable of them.

***

*A*
4
Lattice="8.567 -0.011 -0.007 7.975 3.127 -0.007 7.975 1.502 2.743" Properties=species:S:1:pos:R:3 comment="Sb2RuW | Alexandria via LeMat-Bulk | PBE | optimized geometry" sg="R-3m, No. 166" n_ef_per_ev_atom=0.994 pbc="T T T"
Ru 18.388 3.464 2.047
Sb 0.069 0.013 0.008
Sb 12.190 2.296 1.357
W 6.129 1.155 0.682

***

*B*
4
Lattice="0.000 3.294 3.294 3.294 0.000 3.294 3.294 3.294 0.000" Properties=species:S:1:pos:R:3 comment="Sb2RuW | Alexandria via LeMat-Bulk | PBE | optimized geometry" sg="Fm-3m, No. 225" n_ef_per_ev_atom=0.273 pbc="T T T"
Sb 1.647 1.647 1.647
Sb 4.941 4.941 4.941
W 3.294 3.294 3.294
Ru 0.000 0.000 0.000

***

Short version: *B* is the most stable of them.

***

*A*
4
Lattice="4.593 -0.004 0.003 3.543 2.924 0.003 1.144 0.411 5.507" Properties=species:S:1:pos:R:3 comment="Sb2RuW | Alexandria via LeMat-Bulk | PBE | optimized geometry" sg="C2/m, No. 12" n_ef_per_ev_atom=0.906 pbc="T T T"
Ru 2.320 0.833 1.378
Sb 8.105 2.909 0.021
Sb 4.671 1.676 2.740
W 6.960 2.498 4.134

***

*B*
4
Lattice="3.260 0.000 0.000 0.000 5.430 0.000 0.000 0.000 4.324" Properties=species:S:1:pos:R:3 comment="Sb2RuW | Alexandria via LeMat-Bulk | PBE | optimized geometry" sg="Pmmm, No. 47" n_ef_per_ev_atom=0.947 pbc="T T T"
Ru 0.000 2.715 2.162
Sb 0.000 0.000 0.000
Sb 1.630 2.715 0.000
W 1.630 0.000 2.162

***

*C*
4
Lattice="6.456 0.591 -0.123 3.964 5.130 0.123 -4.886 -3.451 2.503" Properties=species:S:1:pos:R:3 comment="Sb2RuW | Alexandria via LeMat-Bulk | PBE | optimized geometry" sg="Imm2, No. 44" n_ef_per_ev_atom=0.945 pbc="T T T"
Ru 1.921 2.147 1.313
Sb 0.426 0.234 0.000
Sb 3.767 0.207 1.190
W 4.631 2.542 0.000

***

*D*
4
Lattice="-0.031 0.228 -3.284 3.662 -2.868 -0.234 -2.877 -3.656 -0.226" Properties=species:S:1:pos:R:3 comment="Sb2RuW | Alexandria via LeMat-Bulk | PBE | optimized geometry" sg="P4/mmm, No. 123" n_ef_per_ev_atom=0.586 pbc="T T T"
Ru -1.454 -1.714 -1.755
Sb 0.000 0.000 0.000
Sb 0.393 -3.262 -0.230
W 1.816 -1.320 -1.759

***

Short version: *D* is the most stable of them.

***

*A*
4
Lattice="-4.035 -0.739 3.029 -4.054 -3.024 0.657 1.333 -3.333 3.199" Properties=species:S:1:pos:R:3 comment="Sb2RuW | Alexandria via LeMat-Bulk | PBE | optimized geometry" sg="Cm, No. 8" n_ef_per_ev_atom=0.726 pbc="T T T"
Ru -1.770 -1.527 1.484
Sb -7.927 -3.945 3.860
Sb -5.224 -5.147 4.997
W -3.303 -3.787 3.672

***

*B*
4
Lattice="-1.420 0.668 2.583 -2.549 -1.204 -1.090 2.404 -8.203 3.443" Properties=species:S:1:pos:R:3 comment="Sb2RuW | Alexandria via LeMat-Bulk | PBE | optimized geometry" sg="P4mm, No. 99" n_ef_per_ev_atom=0.550 pbc="T T T"
Ru -0.247 -6.197 3.235
Sb 2.222 -7.582 3.183
Sb -1.231 -2.840 1.826
W 1.297 -4.425 1.857

***

*C*
4
Lattice="10.867 0.025 0.015 10.426 3.063 0.015 10.426 1.512 2.664" Properties=species:S:1:pos:R:3 comment="Sb2RuW | Alexandria via LeMat-Bulk | PBE | optimized geometry" sg="R3m, No. 160" n_ef_per_ev_atom=0.506 pbc="T T T"
Ru 24.050 3.489 2.042
Sb 0.828 0.120 0.070
Sb 7.196 1.044 0.611
W 15.504 2.249 1.317

***

*D*
4
Lattice="-0.948 -0.465 -2.839 -2.578 -3.141 1.376 -4.233 3.818 0.788" Properties=species:S:1:pos:R:3 comment="Sb2RuW | Alexandria via LeMat-Bulk | PBE | optimized geometry" sg="Pmm2, No. 25" n_ef_per_ev_atom=0.618 pbc="T T T"
Ru -5.023 1.137 -0.125
Sb -4.019 3.625 0.748
Sb -3.050 -0.643 -0.492
W -2.017 1.820 0.375

***

Short version: *B* is the most stable of them.

***

*A*
4
Lattice="-0.298 1.989 2.460 -5.384 0.614 -1.147 -4.457 -2.841 1.757" Properties=species:S:1:pos:R:3 comment="Sb2RuW | Alexandria via LeMat-Bulk | PBE | optimized geometry" sg="P2/m, No. 10" n_ef_per_ev_atom=1.003 pbc="T T T"
Ru -2.229 -1.421 0.879
Sb 0.000 0.000 0.000
Sb -2.841 1.301 0.656
W -5.070 -0.119 1.535

***

*B*
4
Lattice="-1.484 3.090 2.556 -2.559 -1.654 0.515 2.243 -2.706 4.575" Properties=species:S:1:pos:R:3 comment="Sb2RuW | Alexandria via LeMat-Bulk | PBE | optimized geometry" sg="P2/m, No. 10" n_ef_per_ev_atom=0.789 pbc="T T T"
Ru -0.979 -1.725 5.095
Sb -2.416 -1.564 0.489
Sb -0.302 -2.270 2.570
W -0.821 0.455 2.550

***

*C*
4
Lattice="-1.631 -3.643 -2.595 -2.514 -3.467 2.079 -4.664 -0.406 -0.866" Properties=species:S:1:pos:R:3 comment="Sb2RuW | Alexandria via LeMat-Bulk | PBE | optimized geometry" sg="F-43m, No. 216" n_ef_per_ev_atom=1.481 pbc="T T T"
Ru -4.404 -3.758 -0.691
Sb 0.000 0.000 0.000
Sb -6.606 -5.637 -1.036
W -2.202 -1.879 -0.345

***

Short version: *A* is the most stable of them.

***

*A*
5
Lattice="-0.662 3.722 2.803 -2.516 -2.669 2.950 3.923 -1.083 2.365" Properties=species:S:1:pos:R:3 comment="SbRu3W | Alexandria via LeMat-Bulk | PBE | optimized geometry" sg="Pm-3m, No. 221" n_ef_per_ev_atom=1.180 pbc="T T T"
Sb 0.372 -0.015 4.059
W 0.000 0.000 0.000
Ru -1.258 -1.335 1.475
Ru 1.961 -0.542 1.183
Ru -0.331 1.861 1.402

***

*B*
5
Lattice="4.670 0.000 0.000 0.000 4.670 0.000 0.000 0.000 4.670" Properties=species:S:1:pos:R:3 comment="SbRu3W | Alexandria via LeMat-Bulk | PBE | optimized geometry" sg="Pm-3m, No. 221" n_ef_per_ev_atom=3.226 pbc="T T T"
Sb 0.000 0.000 0.000
W 2.335 2.335 2.335
Ru 0.000 2.335 0.000
Ru 0.000 0.000 2.335
Ru 2.335 0.000 0.000

***

Short version: *A* is the most stable of them.

***

*A*
5
Lattice="-0.295 -2.822 -5.163 5.678 1.220 -0.991 3.795 -4.393 -1.177" Properties=species:S:1:pos:R:3 comment="Y2Sb2Ru | Alexandria via LeMat-Bulk | PBE | optimized geometry" sg="I4/mmm, No. 139" n_ef_per_ev_atom=0.833 pbc="T T T"
Y 3.096 -4.008 -4.709
Y 6.082 -1.987 -2.622
Sb 3.097 -2.122 -2.378
Sb 6.081 -3.873 -4.953
Ru 0.000 0.000 0.000

***

*B*
10
Lattice="7.015 0.000 0.000 0.000 7.015 0.000 0.000 0.000 4.785" Properties=species:S:1:pos:R:3 comment="Y2Sb2Ru | Alexandria via LeMat-Bulk | PBE | optimized geometry" sg="P4/mbm, No. 127" n_ef_per_ev_atom=0.398 pbc="T T T"
Y 1.197 4.704 2.393
Y 4.704 5.818 2.393
Y 5.818 2.310 2.393
Y 2.310 1.197 2.393
Sb 2.467 5.974 0.000
Sb 5.974 4.548 0.000
Sb 4.548 1.041 0.000
Sb 1.041 2.467 0.000
Ru 0.000 0.000 0.000
Ru 3.507 3.507 0.000

***

Short version: *B* is the most stable of them.